[1]
# Y3TaV

Y3TaV after structural relaxation (PBE, Alexandria via LeMat-Bulk).

ΔE_f: 1.08 eV per atom
Offset from the most stable computed form: 0.000 eV per atom
Fermi-level density of states: 9.24 states/eV per cell

Unit cell a=5.458 b=5.458 c=5.458 alpha=90.00 beta=90.00 gamma=90.00
Fractional coordinates of all 5 atoms:
Y1 0.500 0.000 0.000
Y2 0.000 0.000 0.500
Y3 0.000 0.500 0.000
V1 0.500 0.500 0.500
Ta1 0.000 0.000 0.000

[2]
# In12Sn2Pb5

In12Sn2Pb5 after structural relaxation (PBE, Alexandria via LeMat-Bulk).

ΔE_f: 0.04 eV per atom
Offset from the most stable computed form: 0.000 eV per atom
Fermi-level density of states: 9.43 states/eV per cell

Unit cell a=12.241 b=12.241 c=5.053 alpha=78.93 beta=78.93 gamma=48.60
Fractional coordinates of all 19 atoms:
In1 0.590 0.590 0.906
In2 0.099 0.099 0.898
In3 0.171 0.641 0.591
In4 0.451 0.946 0.802
In5 0.829 0.359 0.409
In6 0.549 0.054 0.198
In7 0.410 0.410 0.094
In8 0.641 0.171 0.591
In9 0.946 0.451 0.802
In10 0.359 0.829 0.409
In11 0.054 0.549 0.198
In12 0.901 0.901 0.102
Pb1 0.192 0.192 0.306
Pb2 0.303 0.303 0.699
Pb3 0.000 0.000 0.500
Pb4 0.697 0.697 0.301
Pb5 0.808 0.808 0.694
Sn1 0.250 0.750 0.000
Sn2 0.750 0.250 0.000

[3]
# Sn2Sb2Pb

Sn2Sb2Pb after structural relaxation (PBE, Alexandria via LeMat-Bulk).

Offset from the most stable computed form: 0.150 eV per atom
Fermi-level density of states: 6.84 states/eV per cell

Unit cell a=8.665 b=8.665 c=3.892 alpha=90.00 beta=90.00 gamma=90.00
Fractional coordinates of all 10 atoms:
Pb1 0.000 0.000 0.000
Pb2 0.500 0.500 0.000
Sn1 0.140 0.360 0.000
Sn2 0.360 0.860 0.000
Sn3 0.860 0.640 0.000
Sn4 0.640 0.140 0.000
Sb1 0.845 0.345 0.500
Sb2 0.345 0.155 0.500
Sb3 0.655 0.845 0.500
Sb4 0.155 0.655 0.500

[4]
# TaGa2Pd

TaGa2Pd after structural relaxation (PBE, Alexandria via LeMat-Bulk).

ΔE_f: -0.11 eV per atom
Fermi-level density of states: 3.66 states/eV per cell

Unit cell a=4.488 b=4.488 c=4.488 alpha=60.00 beta=60.00 gamma=60.00
Fractional coordinates of all 4 atoms:
Ga1 0.250 0.250 0.250
Ga2 0.750 0.750 0.750
Ta1 0.500 0.500 0.500
Pd1 0.000 0.000 0.000

[5]
# La15HoTm4

La15HoTm4 after structural relaxation (PBE, Alexandria via LeMat-Bulk).

ΔE_f: 0.01 eV per atom
Fermi-level density of states: 23.12 states/eV per cell

Unit cell a=5.190 b=5.190 c=25.947 alpha=90.00 beta=90.00 gamma=90.00
Fractional coordinates of all 20 atoms:
Tm1 0.000 0.000 0.800
Tm2 0.000 0.000 0.600
Tm3 0.000 0.000 0.200
Tm4 0.000 0.000 0.400
Ho1 0.000 0.000 0.000
La1 0.500 0.500 0.800
La2 0.000 0.500 0.500
La3 0.500 0.500 0.400
La4 0.500 0.500 0.000
La5 0.000 0.500 0.700
La6 0.500 0.000 0.100
La7 0.000 0.500 0.900
La8 0.500 0.500 0.200
La9 0.000 0.500 0.100
La10 0.500 0.000 0.900
La11 0.500 0.000 0.300
La12 0.500 0.000 0.700
La13 0.500 0.500 0.600
La14 0.500 0.000 0.500
La15 0.000 0.500 0.300

[6]
# AcLa3Au

AcLa3Au after structural relaxation (PBE, Alexandria via LeMat-Bulk).

ΔE_f: -0.19 eV per atom
Fermi-level density of states: 11.32 states/eV per cell

Unit cell a=6.515 b=8.088 c=8.088 alpha=120.00 beta=90.00 gamma=90.00
Fractional coordinates of all 10 atoms:
La1 0.750 0.629 0.814
La2 0.250 0.371 0.186
La3 0.250 0.814 0.629
La4 0.750 0.186 0.814
La5 0.750 0.186 0.371
La6 0.250 0.814 0.186
Au1 0.500 0.000 0.000
Au2 0.000 0.000 0.000
Ac1 0.750 0.667 0.333
Ac2 0.250 0.333 0.667

[7]
# BaIrF

BaIrF after structural relaxation (PBE, Alexandria via LeMat-Bulk).

Offset from the most stable computed form: 0.152 eV per atom
Fermi-level density of states: 5.20 states/eV per cell

Unit cell a=3.699 b=3.700 c=9.306 alpha=90.00 beta=90.00 gamma=90.00
Fractional coordinates of all 6 atoms:
Ba1 0.069 0.714 0.863
Ba2 0.571 0.214 0.457
F1 0.071 0.714 0.553
F2 0.569 0.214 0.768
Ir1 0.071 0.214 0.160
Ir2 0.571 0.714 0.160

[8]
# CsTl3Cu

CsTl3Cu after structural relaxation (PBE, Alexandria via LeMat-Bulk).

ΔE_f: 1.20 eV per atom
Offset from the most stable computed form: 1.075 eV per atom
Fermi-level density of states: 6.29 states/eV per cell

Unit cell a=6.734 b=6.734 c=6.734 alpha=90.00 beta=90.00 gamma=90.00
Fractional coordinates of all 5 atoms:
Cu1 0.500 0.500 0.500
Cs1 0.000 0.000 0.000
Tl1 0.500 0.000 0.000
Tl2 0.000 0.000 0.500
Tl3 0.000 0.500 0.000